Ba2NaZnIn after structural relaxation. Source: Alexandria, functional PBE-GGA.

Lattice parameters (Å, degrees): 6.5452 6.5452 5.0260 90.00 90.00 90.00
Closest atoms and distances in Å follow each position.
Element x y z (fractional)
Ba 0.0000 0.5000 0.0000  2 Zn 3.27
Ba 0.5000 0.0000 0.0000  2 Zn 3.27
Na 0.0000 0.0000 0.5000  8 Ba 4.13
Zn 0.5000 0.5000 0.0000  2 In 2.51
In 0.5000 0.5000 0.5000  2 Zn 2.51

## Properties
SG: P4/mmm
calculated total energy: -9.65 eV per cell

DyCo2GeP after structural relaxation. Source: Alexandria, functional PBE-GGA.

Lattice parameters (Å, degrees): 6.0629 6.0629 6.9581 90.00 90.00 141.55
Closest atoms and distances in Å follow each position.
Element x y z (fractional)
Dy 0.0680 0.9320 0.7500  4 P 2.76
Dy 0.9320 0.0680 0.2500  4 P 2.76
Co 0.3201 0.6799 0.5626  1 P 2.11
Co 0.3201 0.6799 0.9374  1 P 2.11
Co 0.6799 0.3201 0.0626  1 P 2.11
Co 0.6799 0.3201 0.4374  1 P 2.11
Ge 0.2237 0.7763 0.2500  6 Co 2.44
Ge 0.7763 0.2237 0.7500  6 Co 2.44
P 0.5000 0.5000 0.0000  2 Co 2.11
P 0.5000 0.5000 0.5000  2 Co 2.11

## Properties
SG: Cmcm
calculated total energy: -64.10 eV per cell

Cr2CdIn2 after structural relaxation. Source: Alexandria, functional PBE-GGA.

Lattice parameters (Å, degrees): 7.4716 7.4716 3.3211 90.00 90.00 90.00
Closest atoms and distances in Å follow each position.
Element x y z (fractional)
Cr 0.0957 0.4043 0.0000  1 Cr 2.02
Cr 0.4043 0.9043 0.0000  1 Cr 2.02
Cr 0.5957 0.0957 0.0000  1 Cr 2.02
Cr 0.9043 0.5957 0.0000  1 Cr 2.02
Cd 0.0000 0.0000 0.0000  4 Cr 3.10, 8 In 3.18, 2 Cd 3.32
Cd 0.5000 0.5000 0.0000  4 Cr 3.10, 8 In 3.18, 2 Cd 3.32
In 0.1918 0.6918 0.5000  6 Cr 2.79-2.81
In 0.3082 0.1918 0.5000  6 Cr 2.79-2.81
In 0.6918 0.8082 0.5000  6 Cr 2.79-2.81
In 0.8082 0.3082 0.5000  6 Cr 2.79-2.81

## Properties
SG: P4/mbm
calculated total energy: -46.87 eV per cell

Ta3PIr after structural relaxation. Source: Alexandria, functional PBE-GGA.

Lattice parameters (Å, degrees): 4.5152 4.5152 4.5152 90.00 90.00 90.00
Closest atoms and distances in Å follow each position.
Element x y z (fractional)
Ta 0.0000 0.0000 0.5000  2 P 2.26
Ta 0.0000 0.5000 0.0000  2 P 2.26
Ta 0.5000 0.0000 0.0000  2 P 2.26
P 0.0000 0.0000 0.0000  6 Ta 2.26
Ir 0.5000 0.5000 0.5000  12 Ta 3.19

## Properties
SG: Pm-3m
calculated total energy: -48.01 eV per cell

| no. | ΔE_f (meV/atom) |
| --- | --- |
| 1 | -94 |
| 2 | -642 |
| 3 | 441 |
| 4 | 363 |